Entry 1:
SnSBr2 (PBE-GGA, optimized geometry); calculated density = 4.96 Mg/m³
1.0
0.0000 3.7319 3.7319
3.7319 0.0000 3.7319
3.7319 3.7319 0.0000
S Sn Br
1 1 2
Direct
0.0000 0.0000 0.0000 S
0.5000 0.5000 0.5000 Sn
0.2500 0.2500 0.2500 Br
0.7500 0.7500 0.7500 Br


Entry 2:
Na3TbPu2Te6 (PBE-GGA, optimized geometry); calculated density = 6.29 Mg/m³
1.0
7.7552 -0.0007 0.0006
-3.8763 6.7169 0.0006
-1.2932 -2.2392 7.5114
Na Tb Pu Te
3 1 2 6
Direct
0.1669 0.8331 0.5000 Na
0.8331 0.1669 0.5000 Na
0.5000 0.5000 0.5000 Na
0.0000 0.0000 0.0000 Tb
0.3333 0.6667 0.0000 Pu
0.6667 0.3333 0.0000 Pu
0.9220 0.5905 0.7661 Te
0.7464 0.7464 0.2340 Te
0.0780 0.4095 0.2339 Te
0.5905 0.9220 0.7661 Te
0.2536 0.2536 0.7660 Te
0.4095 0.0780 0.2339 Te


| no. | formation energy without anion corrections (eV per atom) | DOS(E_F) (states/eV/cell) |
| --- | --- | --- |
| 1 | 0.191 | 4.8 |
| 2 | -1.124 | 26.8 |